{"formula": "Ba2LiUPt6", "functional": "PBE", "state": "relaxed", "magnetic_moment_mub_per_cell": 0.000, "e_form_kcal_per_mol_atoms": -8.41, "lattice_angstrom": [[-3.4421, 3.5129, 4.9155], [3.4421, -3.5129, 4.9155], [3.4421, 3.5129, -4.9155]], "species": ["Ba", "Ba", "Li", "U", "Pt", "Pt", "Pt", "Pt", "Pt", "Pt"], "fractional_positions": [[0.2495, 0.2495, 0.0000], [0.7505, 0.7505, 0.0000], [0.5000, 0.0000, 0.5000], [0.0000, 0.5000, 0.5000], [0.2619, 0.2385, 0.5004], [0.2619, 0.7615, 0.0235], [0.2618, 0.7618, 0.5000], [0.7382, 0.2382, 0.5000], [0.7381, 0.2385, 0.9765], [0.7381, 0.7615, 0.4996]]}